No. 1
TcNiIO2 | GGA-PBEsol | relaxed

Geometry as POSCAR:
```
TcNiIO2
1.0
3.6917 0.0000 0.0000
0.0000 3.6917 0.0000
0.0000 0.0000 5.8665
Tc Ni I O
1 1 1 2
Direct
0.0000 0.0000 0.0000 Tc
0.5000 0.5000 0.5000 Ni
0.0000 0.0000 0.5000 I
0.0000 0.5000 0.0000 O
0.5000 0.0000 0.0000 O
```

* size of the total moment: 0.00 μB per atom
* symmetry: P4/mmm
* E_form (uncorrected): -2.318 eV per formula unit
* crystal system: tetragonal

***

No. 2
NiWIO2 | GGA-PBEsol | relaxed

Geometry as POSCAR:
```
NiWIO2
1.0
3.8374 0.0000 0.0000
0.0000 3.8374 0.0000
0.0000 0.0000 4.8568
Ni W I O
1 1 1 2
Direct
0.0000 0.0000 0.0000 Ni
0.5000 0.5000 0.5000 W
0.0000 0.0000 0.5000 I
0.0000 0.5000 0.0000 O
0.5000 0.0000 0.0000 O
```

* size of the total moment: 0.39 μB per atom
* symmetry: P4/mmm
* E_form (uncorrected): 4.379 eV per formula unit
* crystal system: tetragonal